Tb2Pr3Er2: relaxed, PBE.

```
7
Lattice="3.566 0.000 0.000 1.783 8.447 0.000 0.005 4.225 7.751" Properties=species:S:1:pos:R:3 pbc="T T T"
Tb 0.895 4.861 3.344
Tb 4.459 7.811 4.407
Pr 0.891 4.223 0.000
Pr 2.676 10.712 5.519
Pr 2.677 1.959 2.232
Er 2.677 7.271 1.291
Er 2.677 5.400 6.461
```

- calculated volume (Å³ per cell) = 233.5
- D(E_F) (states/eV per cell) = 9.36
- calculated density (Mg/m³) = 7.647
- energy relative to the lowest polymorph listed for this composition (meV/atom) = 0.0
- final energy (eV per atom) = -4.634
- DFT formation energy (eV/atom) = 0.041